An optimized crystal structure of MgTc3Br, computed with PBE.

Computed properties:
- total energy (eV/atom) = -5.534
- size of the total moment (μB per atom) = 0.3763
- raw formation energy (meV per atom) = 1339

abc: 4.576 4.576 4.576
angles: 90.00 90.00 90.00
Fractional positions:
Mg  0.500  0.500  0.500
Tc  0.000  0.500  0.000
Tc  0.000  0.000  0.500
Tc  0.500  0.000  0.000
Br  0.000  0.000  0.000